# meta-GGA SCAN Er4I5, PBEsol geometry
# formation energy (no corrections)	-1045	meV per atom
# D(E_F)	8.17	states/eV per cell
data_Er4I5
_cell_length_a 18.5463
_cell_length_b 3.9089
_cell_length_c 9.3938
_cell_angle_alpha 90.00
_cell_angle_beta 104.72
_cell_angle_gamma 90.00
_symmetry_space_group_name_H-M 'C 1 2/m 1'
_symmetry_Int_Tables_number 12
_symmetry_space_group_name_Hall '-C 2y'
loop_
_atom_site_label
_atom_site_type_symbol
_atom_site_fract_x
_atom_site_fract_y
_atom_site_fract_z
Er1 Er 0.0022 0.0000 0.2435
Er2 Er 0.0932 0.5000 0.0445
I1 I 0.0000 0.5000 0.5000
I2 I 0.1643 0.0000 0.8621
I3 I 0.1682 0.0000 0.2962

# meta-GGA SCAN Er6IrI10, PBEsol geometry
# formation energy (no corrections)	-1393	meV per atom
# D(E_F)	8.72	states/eV per cell
data_Er6IrI10
_cell_length_a 7.4940
_cell_length_b 9.3881
_cell_length_c 9.4373
_cell_angle_alpha 107.24
_cell_angle_beta 96.96
_cell_angle_gamma 104.76
_symmetry_space_group_name_H-M 'P -1'
_symmetry_Int_Tables_number 2
_symmetry_space_group_name_Hall '-P 1'
loop_
_atom_site_label
_atom_site_type_symbol
_atom_site_fract_x
_atom_site_fract_y
_atom_site_fract_z
Er1 Er 0.0302 0.2136 0.4138
Er2 Er 0.1152 0.5411 0.2575
Er3 Er 0.3530 0.6270 0.6678
Ir1 Ir 0.0000 0.5000 0.5000
I1 I 0.0881 0.8753 0.3174
I2 I 0.2199 0.2379 0.1469
I3 I 0.2636 0.5896 0.9671
I4 I 0.3583 0.9599 0.7762
I5 I 0.4523 0.3121 0.5930

# meta-GGA SCAN Er7IrI12, PBEsol geometry
# formation energy (no corrections)	-1396	meV per atom
# D(E_F)	5.87	states/eV per cell
data_Er7IrI12
_cell_length_a 15.2197
_cell_length_b 15.2197
_cell_length_c 10.6173
_cell_angle_alpha 90.00
_cell_angle_beta 90.00
_cell_angle_gamma 120.00
_symmetry_space_group_name_H-M 'R -3'
_symmetry_Int_Tables_number 148
_symmetry_space_group_name_Hall '-R 3'
loop_
_atom_site_label
_atom_site_type_symbol
_atom_site_fract_x
_atom_site_fract_y
_atom_site_fract_z
Er1 Er 0.0000 0.0000 0.0000
Er2 Er 0.0436 0.8839 0.3606
Ir1 Ir 0.0000 0.0000 0.5000
I1 I 0.0154 0.4284 0.1572
I2 I 0.0494 0.8704 0.8392

# meta-GGA SCAN Er3In, PBEsol geometry
# formation energy from the elements	-371	meV per atom
# D(E_F)	4.05	states/eV per cell
data_Er3In
_cell_length_a 4.7057
_cell_length_b 4.7057
_cell_length_c 4.7057
_cell_angle_alpha 90.00
_cell_angle_beta 90.00
_cell_angle_gamma 90.00
_symmetry_space_group_name_H-M 'P m -3 m'
_symmetry_Int_Tables_number 221
_symmetry_space_group_name_Hall '-P 4 2 3'
loop_
_atom_site_label
_atom_site_type_symbol
_atom_site_fract_x
_atom_site_fract_y
_atom_site_fract_z
Er1 Er 0.0000 0.0000 0.5000
In1 In 0.5000 0.5000 0.5000

# meta-GGA SCAN Er3In5, PBEsol geometry
# formation energy from the elements	-584	meV per atom
# D(E_F)	14.74	states/eV per cell
data_Er3In5
_cell_length_a 9.6851
_cell_length_b 7.8724
_cell_length_c 10.1225
_cell_angle_alpha 90.00
_cell_angle_beta 90.00
_cell_angle_gamma 90.00
_symmetry_space_group_name_H-M 'C m c m'
_symmetry_Int_Tables_number 63
_symmetry_space_group_name_Hall '-C 2c 2'
loop_
_atom_site_label
_atom_site_type_symbol
_atom_site_fract_x
_atom_site_fract_y
_atom_site_fract_z
Er1 Er 0.0000 0.1144 0.2500
Er2 Er 0.2061 0.5000 0.0000
In1 In 0.0000 0.1952 0.5435
In2 In 0.0000 0.4985 0.7500
In3 In 0.2191 0.2131 0.7500

# meta-GGA SCAN Er3In, PBEsol geometry
# formation energy from the elements	-352	meV per atom
# D(E_F)	10.12	states/eV per cell
data_Er3In
_cell_length_a 6.7248
_cell_length_b 6.7248
_cell_length_c 5.3446
_cell_angle_alpha 90.00
_cell_angle_beta 90.00
_cell_angle_gamma 120.00
_symmetry_space_group_name_H-M 'P 63/m m c'
_symmetry_Int_Tables_number 194
_symmetry_space_group_name_Hall '-P 6c 2c'
loop_
_atom_site_label
_atom_site_type_symbol
_atom_site_fract_x
_atom_site_fract_y
_atom_site_fract_z
Er1 Er 0.1714 0.3429 0.2500
In1 In 0.3333 0.6667 0.7500

# meta-GGA SCAN Er5In3, PBEsol geometry
# formation energy from the elements	-496	meV per atom
# D(E_F)	19.69	states/eV per cell
data_Er5In3
_cell_length_a 8.8631
_cell_length_b 8.8631
_cell_length_c 6.3158
_cell_angle_alpha 90.00
_cell_angle_beta 90.00
_cell_angle_gamma 120.00
_symmetry_space_group_name_H-M 'P 63/m c m'
_symmetry_Int_Tables_number 193
_symmetry_space_group_name_Hall '-P 6c 2'
loop_
_atom_site_label
_atom_site_type_symbol
_atom_site_fract_x
_atom_site_fract_y
_atom_site_fract_z
Er1 Er 0.0000 0.2347 0.2500
Er2 Er 0.3333 0.6667 0.0000
In1 In 0.0000 0.4015 0.7500

# meta-GGA SCAN LaErIn2, PBEsol geometry
# formation energy from the elements	-622	meV per atom
# D(E_F)	8.74	states/eV per cell
data_LaErIn2
_cell_length_a 7.5619
_cell_length_b 7.5619
_cell_length_c 7.5619
_cell_angle_alpha 90.00
_cell_angle_beta 90.00
_cell_angle_gamma 90.00
_symmetry_space_group_name_H-M 'F m -3 m'
_symmetry_Int_Tables_number 225
_symmetry_space_group_name_Hall '-F 4 2 3'
loop_
_atom_site_label
_atom_site_type_symbol
_atom_site_fract_x
_atom_site_fract_y
_atom_site_fract_z
La1 La 0.0000 0.0000 0.0000
Er1 Er 0.0000 0.0000 0.5000
In1 In 0.2500 0.2500 0.2500

Among the records above, which one has the lowest D(E_F)? number 4

Among the records above, which one has the lowest D(E_F)? number 4

What is the D(E_F) in the eighth record? 8.74 states/eV per cell